1.
SmHoCuPt GGA-PBE relaxed; DOS(E_F) = 2.1 states/eV/cell; density = 10.99 Mg/m³; ΔH_f (0 K) = -727 meV per atom; total magnetic moment = 0.00 μB/f.u.
1.0
0.0000 3.5135 3.5135
3.5135 0.0000 3.5135
3.5135 3.5135 0.0000
Sm Ho Cu Pt
1 1 1 1
Direct
0.0000 0.0000 0.0000
0.5000 0.5000 0.5000
0.2500 0.2500 0.2500
0.7500 0.7500 0.7500

2.
HoCuSnPt GGA-PBE relaxed; DOS(E_F) = 2.8 states/eV/cell; density = 11.89 Mg/m³; ΔH_f (0 K) = -688 meV per atom; total magnetic moment = 0.00 μB/f.u.
1.0
0.0000 3.3580 3.3580
3.3580 0.0000 3.3580
3.3580 3.3580 0.0000
Ho Cu Sn Pt
1 1 1 1
Direct
0.0000 0.0000 0.0000
0.2500 0.2500 0.2500
0.5000 0.5000 0.5000
0.7500 0.7500 0.7500

3.
HoTlCuPt GGA-PBE relaxed; DOS(E_F) = 2.2 states/eV/cell; density = 13.29 Mg/m³; ΔH_f (0 K) = -461 meV per atom; total magnetic moment = 0.00 μB/f.u.
1.0
0.0000 3.3975 3.3975
3.3975 0.0000 3.3975
3.3975 3.3975 0.0000
Ho Tl Cu Pt
1 1 1 1
Direct
0.0000 0.0000 0.0000
0.5000 0.5000 0.5000
0.7500 0.7500 0.7500
0.2500 0.2500 0.2500

4.
YHoCuPt GGA-PBE relaxed; DOS(E_F) = 2.6 states/eV/cell; density = 10.11 Mg/m³; ΔH_f (0 K) = -773 meV per atom; total magnetic moment = 0.00 μB/f.u.
1.0
0.0000 3.4787 3.4787
3.4787 0.0000 3.4787
3.4787 3.4787 0.0000
Y Ho Cu Pt
1 1 1 1
Direct
0.0000 0.0000 0.0000
0.5000 0.5000 0.5000
0.2500 0.2500 0.2500
0.7500 0.7500 0.7500

5.
YHoCuPt GGA-PBE relaxed; DOS(E_F) = 2.4 states/eV/cell; density = 9.69 Mg/m³; ΔH_f (0 K) = -811 meV per atom; total magnetic moment = 0.00 μB/f.u.
1.0
4.4349 0.0000 0.0000
0.0000 1.8860 5.2484
0.0000 -1.8860 5.2484
Y Ho Cu Pt
1 1 1 1
Direct
0.0000 0.0000 0.0000
0.5000 0.2776 0.2776
0.5000 0.5614 0.5614
0.0000 0.7184 0.7184

6.
Ho4ZnCu2Pt GGA-PBE relaxed; DOS(E_F) = 3.9 states/eV/cell; density = 10.27 Mg/m³; ΔH_f (0 K) = -559 meV per atom; total magnetic moment = 0.00 μB/f.u.
1.0
2.4580 1.4191 8.0931
-2.4580 1.4191 8.0931
0.0000 -2.8382 8.0931
Ho Zn Cu Pt
4 1 2 1
Direct
0.1223 0.1223 0.1223
0.3728 0.3728 0.3728
0.6272 0.6272 0.6272
0.8777 0.8777 0.8777
0.5000 0.5000 0.5000
0.2432 0.2432 0.2432
0.7568 0.7568 0.7568
0.0000 0.0000 0.0000

7.
HoZn2CuPt4 GGA-PBE relaxed; DOS(E_F) = 4.0 states/eV/cell; density = 14.46 Mg/m³; ΔH_f (0 K) = -616 meV per atom; total magnetic moment = 0.00 μB/f.u.
1.0
2.1931 1.2662 7.8528
-2.1931 1.2662 7.8528
0.0000 -2.5324 7.8528
Ho Zn Cu Pt
1 2 1 4
Direct
0.0000 0.0000 0.0000
0.2433 0.2433 0.2433
0.7567 0.7567 0.7567
0.5000 0.5000 0.5000
0.1273 0.1273 0.1273
0.3933 0.3933 0.3933
0.6067 0.6067 0.6067
0.8727 0.8727 0.8727

8.
Ho2Zn3Cu12Pt GGA-PBE relaxed; DOS(E_F) = 8.7 states/eV/cell; density = 8.83 Mg/m³; ΔH_f (0 K) = -32 meV per atom; total magnetic moment = 0.00 μB/f.u.
1.0
2.5781 1.4885 12.1117
-2.5781 1.4885 12.1117
0.0000 -2.9770 12.1117
Ho Zn Cu Pt
2 3 12 1
Direct
0.1442 0.1442 0.1442
0.8558 0.8558 0.8558
0.0000 0.5000 0.5000
0.5000 0.0000 0.5000
0.5000 0.5000 0.0000
0.1053 0.1053 0.6242
0.1053 0.6242 0.1053
0.1075 0.6089 0.6089
0.3758 0.8947 0.8947
0.3911 0.3911 0.8925
0.3911 0.8925 0.3911
0.6089 0.1075 0.6089
0.6089 0.6089 0.1075
0.6242 0.1053 0.1053
0.8925 0.3911 0.3911
0.8947 0.3758 0.8947
0.8947 0.8947 0.3758
0.5000 0.5000 0.5000

9.
Ho2Zn2CuPt5 GGA-PBE relaxed; DOS(E_F) = 5.1 states/eV/cell; density = 14.58 Mg/m³; ΔH_f (0 K) = -777 meV per atom; total magnetic moment = 0.00 μB/f.u.
1.0
9.5291 0.0000 0.0000
0.0000 9.5291 0.0000
0.0000 0.0000 3.7623
Ho Zn Cu Pt
4 4 2 10
Direct
0.1753 0.3247 0.0000
0.3247 0.8247 0.0000
0.6753 0.1753 0.0000
0.8247 0.6753 0.0000
0.1243 0.6243 0.0000
0.3757 0.1243 0.0000
0.6243 0.8757 0.0000
0.8757 0.3757 0.0000
0.0000 0.0000 0.0000
0.5000 0.5000 0.0000
0.0000 0.5000 0.5000
0.0650 0.8002 0.5000
0.1998 0.0650 0.5000
0.3002 0.5650 0.5000
0.4350 0.3002 0.5000
0.5000 0.0000 0.5000
0.5650 0.6998 0.5000
0.6998 0.4350 0.5000
0.8002 0.9350 0.5000
0.9350 0.1998 0.5000

10.
HoZrCuPt GGA-PBE relaxed; DOS(E_F) = 3.6 states/eV/cell; density = 10.95 Mg/m³; ΔH_f (0 K) = -614 meV per atom; total magnetic moment = 0.00 μB/f.u.
1.0
0.0000 3.3924 3.3924
3.3924 0.0000 3.3924
3.3924 3.3924 0.0000
Ho Zr Cu Pt
1 1 1 1
Direct
0.0000 0.0000 0.0000
0.5000 0.5000 0.5000
0.7500 0.7500 0.7500
0.2500 0.2500 0.2500

11.
Ho2PuCu GGA-PBE relaxed; DOS(E_F) = 10.6 states/eV/cell; density = 9.79 Mg/m³; ΔH_f (0 K) = 300 meV per atom; total magnetic moment = 6.21 μB/f.u.
1.0
1.7026 0.9830 10.7673
-1.7026 0.9830 10.7673
0.0000 -1.9660 10.7673
Ho Pu Cu
2 1 1
Direct
0.1022 0.1022 0.1022
0.8978 0.8978 0.8978
0.0000 0.0000 0.0000
0.5000 0.5000 0.5000

12.
HoPu2Cu9 GGA-PBE relaxed; DOS(E_F) = 19.5 states/eV/cell; density = 10.71 Mg/m³; ΔH_f (0 K) = -105 meV per atom; total magnetic moment = 11.47 μB/f.u.
1.0
2.5577 1.4767 8.3813
-2.5577 1.4767 8.3813
0.0000 -2.9534 8.3813
Ho Pu Cu
1 2 9
Direct
0.0000 0.0000 0.0000
0.1469 0.1469 0.1469
0.8531 0.8531 0.8531
0.0839 0.5789 0.5789
0.3318 0.3318 0.3318
0.4211 0.4211 0.9161
0.4211 0.9161 0.4211
0.5000 0.5000 0.5000
0.5789 0.0839 0.5789
0.5789 0.5789 0.0839
0.6682 0.6682 0.6682
0.9161 0.4211 0.4211

Question: Which formula does entry 11 have?
Answer: Ho2PuCu

Question: Look up the DOS(E_F) of the seventh one.
Answer: 4.0 states/eV/cell